1.
Material: NdHo3Ru4
Method: DFT, PBE-GGA
State: relaxed

```
NdHo3Ru4
1.0
4.625 0.000 1.365
2.111 4.115 1.365
0.040 0.024 8.383
Ru Nd Ho
4 1 3
direct
0.874 0.874 0.379 Ru
0.376 0.376 0.871 Ru
0.126 0.126 0.621 Ru
0.624 0.624 0.129 Ru
0.000 0.000 0.000 Nd
0.248 0.248 0.256 Ho
0.752 0.752 0.744 Ho
0.500 0.500 0.500 Ho
```

Summary:
* formation energy: -0.27 eV per atom
* SG: R-3m



2.
Material: Ba2YRe
Method: DFT, PBE-GGA
State: relaxed

```
Ba2YRe
1.0
-4.100 1.764 3.280
-2.031 5.117 -0.614
-5.085 0.731 -2.072
Y Re Ba
1 1 2
direct
0.000 0.000 0.000 Y
0.500 0.500 0.500 Re
0.250 0.250 0.250 Ba
0.750 0.750 0.750 Ba
```

Summary:
* polymorph energy (0 for the lowest one): 0.557 eV/atom
* formation energy: 1.11 eV per atom
* SG: Fm-3m



3.
Material: Na2Cd2In15
Method: DFT, PBE-GGA
State: relaxed

```
Na2Cd2In15
1.0
-4.963 -0.921 7.002
-6.601 -5.388 -1.377
1.180 -7.639 3.842
Na Cd In
2 2 15
direct
0.717 0.717 0.717 Na
0.283 0.283 0.283 Na
0.904 0.904 0.904 Cd
0.096 0.096 0.096 Cd
0.000 0.500 0.000 In
0.000 0.000 0.500 In
0.500 0.000 0.000 In
0.301 0.000 0.699 In
0.699 0.301 0.000 In
0.000 0.699 0.301 In
0.301 0.699 0.000 In
0.000 0.301 0.699 In
0.699 0.000 0.301 In
0.428 0.808 0.428 In
0.428 0.428 0.808 In
0.808 0.428 0.428 In
0.572 0.192 0.572 In
0.572 0.572 0.192 In
0.192 0.572 0.572 In
```

Summary:
* formation energy: 0.02 eV per atom
* SG: R-3m



4.
Material: TcAg2As
Method: DFT, PBE-GGA
State: relaxed

```
TcAg2As
1.0
2.870 0.006 0.000
-1.108 2.647 0.000
0.000 0.000 9.440
As Tc Ag
1 1 2
direct
0.000 0.000 0.539 As
0.500 0.500 0.733 Tc
0.000 0.000 0.988 Ag
0.500 0.500 0.240 Ag
```

Summary:
* formation energy: 0.29 eV per atom
* SG: Cmm2



5.
Material: TiMn2Ir3
Method: DFT, PBE-GGA
State: relaxed

```
TiMn2Ir3
1.0
-3.150 -0.268 -3.025
2.972 -0.431 -6.227
0.077 -6.058 0.456
Ti Mn Ir
2 4 6
direct
0.336 0.328 0.000 Ti
0.664 0.672 0.000 Ti
0.000 0.000 0.000 Mn
0.000 0.000 0.500 Mn
0.332 0.336 0.500 Mn
0.668 0.664 0.500 Mn
0.833 0.334 0.753 Ir
0.500 0.000 0.252 Ir
0.167 0.666 0.247 Ir
0.833 0.334 0.247 Ir
0.167 0.666 0.753 Ir
0.500 0.000 0.748 Ir
```

Summary:
* formation energy: -0.42 eV per atom
* SG: Cmmm



6.
Material: AuS2IN
Method: DFT, PBE-GGA
State: relaxed

```
AuS2IN
1.0
-4.576 -1.601 1.754
0.464 -4.337 -2.748
1.728 -1.693 2.965
I S Au N
1 2 1 1
direct
0.500 0.500 0.500 I
0.000 0.500 0.000 S
0.500 0.000 0.000 S
0.000 0.000 0.000 Au
0.000 0.000 0.500 N
```

Summary:
* polymorph energy (0 for the lowest one): 0.000 eV/atom
* E_form (uncorrected): 1.27 eV/atom
* SG: P4/mmm



7.
Material: ScRe2AgHg
Method: DFT, PBE-GGA
State: relaxed

```
ScRe2AgHg
1.0
4.864 0.000 0.000
0.000 4.864 0.000
0.000 0.000 4.915
Sc Re Hg Ag
1 2 1 1
direct
0.500 0.500 0.500 Sc
0.000 0.500 0.000 Re
0.500 0.000 0.000 Re
0.000 0.000 0.500 Hg
0.000 0.000 0.000 Ag
```

Summary:
* formation energy: 2.04 eV per atom
* SG: P4/mmm



8.
Material: MgBe2Nb2Co5
Method: DFT, PBE-GGA
State: relaxed

```
MgBe2Nb2Co5
1.0
3.129 0.000 0.000
0.000 8.694 0.000
0.000 0.000 8.694
Mg Be Nb Co
2 4 4 10
direct
0.000 0.000 0.000 Mg
0.000 0.500 0.500 Mg
0.000 0.117 0.617 Be
0.000 0.883 0.383 Be
0.000 0.617 0.883 Be
0.000 0.383 0.117 Be
0.000 0.677 0.177 Nb
0.000 0.323 0.823 Nb
0.000 0.177 0.323 Nb
0.000 0.823 0.677 Nb
0.500 0.219 0.071 Co
0.500 0.781 0.929 Co
0.500 0.071 0.781 Co
0.500 0.719 0.429 Co
0.500 0.929 0.219 Co
0.500 0.281 0.571 Co
0.500 0.571 0.719 Co
0.500 0.429 0.281 Co
0.500 0.500 0.000 Co
0.500 0.000 0.500 Co
```

Summary:
* formation energy: -0.18 eV per atom
* SG: P4/mbm



9.
Material: Ac2Pm3Y
Method: DFT, PBE-GGA
State: relaxed

```
Ac2Pm3Y
1.0
-0.342 3.838 4.146
0.404 -4.158 7.746
10.702 -4.314 8.740
Ac Pm Y
4 6 2
direct
0.790 0.521 0.899 Ac
0.210 0.479 0.101 Ac
0.596 0.180 0.629 Ac
0.404 0.820 0.371 Ac
0.990 0.212 0.808 Pm
0.010 0.788 0.192 Pm
0.585 0.854 0.976 Pm
0.415 0.146 0.024 Pm
0.816 0.841 0.527 Pm
0.184 0.159 0.473 Pm
0.359 0.572 0.710 Y
0.641 0.428 0.290 Y
```

Summary:
* formation energy: 0.29 eV per atom
* SG: C2/m



10.
Material: ZnReSi2
Method: DFT, PBE-GGA
State: relaxed

```
ZnReSi2
1.0
-1.044 -3.709 2.216
1.106 -4.293 0.318
3.196 0.499 3.467
Re Si Zn
1 2 1
direct
0.250 0.250 0.250 Re
0.984 0.984 0.036 Si
0.516 0.516 0.464 Si
0.750 0.750 0.750 Zn
```

Summary:
* E_form (uncorrected): 0.11 eV/atom
* SG: C2/m



11.
Material: AgSb2RhI
Method: DFT, PBE-GGA
State: relaxed

```
AgSb2RhI
1.0
5.082 0.000 0.000
0.000 5.082 0.000
0.000 0.000 5.752
I Sb Rh Ag
1 2 1 1
direct
0.000 0.000 0.500 I
0.000 0.500 0.000 Sb
0.500 0.000 0.000 Sb
0.000 0.000 0.000 Rh
0.500 0.500 0.500 Ag
```

Summary:
* polymorph energy (0 for the lowest one): 0.000 eV/atom
* E_form (uncorrected): 0.39 eV/atom
* SG: P4/mmm



12.
Material: Yb6Al7Cu16
Method: DFT, PBE-GGA
State: relaxed

```
Yb6Al7Cu16
1.0
8.748 0.000 0.000
4.374 7.576 0.000
4.374 2.525 7.142
Yb Al Cu
6 7 16
direct
0.711 0.711 0.289 Yb
0.289 0.711 0.289 Yb
0.711 0.289 0.289 Yb
0.289 0.289 0.711 Yb
0.711 0.289 0.711 Yb
0.289 0.711 0.711 Yb
0.000 0.000 0.000 Al
0.000 0.000 0.500 Al
0.500 0.000 0.500 Al
0.000 0.500 0.500 Al
0.500 0.500 0.000 Al
0.000 0.500 0.000 Al
0.500 0.000 0.000 Al
0.877 0.877 0.368 Cu
0.877 0.368 0.877 Cu
0.368 0.877 0.877 Cu
0.877 0.877 0.877 Cu
0.123 0.123 0.632 Cu
0.123 0.632 0.123 Cu
0.632 0.123 0.123 Cu
0.123 0.123 0.123 Cu
0.673 0.673 0.980 Cu
0.673 0.980 0.673 Cu
0.980 0.673 0.673 Cu
0.673 0.673 0.673 Cu
0.327 0.327 0.020 Cu
0.327 0.020 0.327 Cu
0.020 0.327 0.327 Cu
0.327 0.327 0.327 Cu
```

Summary:
* formation energy: -0.31 eV per atom
* SG: Fm-3m



no.,electronic total energy (eV for the cell shown),mass density (g/cm³)
1,-57.80,10.9
2,-18.31,7.6
3,-45.16,6.2
4,-19.54,9.0
5,-110.64,14.0
6,-15.05,6.6
7,-24.17,10.4
8,-133.08,7.3
9,-54.43,6.7
10,-24.12,8.8
11,-18.04,6.5
12,-109.78,7.9